(1)
This record from Alexandria via LeMat-Bulk describes a relaxed structure of H2S. The functional is PBE-GGA.

Results
* DFT total energy: -90.8 eV for the cell shown

Cell: 8.1567 8.1567 8.1567 Å, 110.68 113.52 104.35°
Atoms (fractional coordinates):
S (0.7500, 0.2556, 0.5056)
S (0.7853, 0.2500, 0.0353)
H (0.3987, 0.4115, 0.1763)
H (0.7429, 0.3945, 0.0148)
H (0.1203, 0.2719, 0.5148)
H (0.8797, 0.7281, 0.4852)
H (0.1013, 0.2776, 0.0128)
H (0.3797, 0.8945, 0.1516)
S (0.7500, 0.7556, 0.0056)
H (0.2648, 0.7776, 0.6763)
H (0.2352, 0.9115, 0.5128)
S (0.2500, 0.2444, 0.9944)
H (0.6013, 0.5885, 0.8237)
S (0.2500, 0.7444, 0.4944)
H (0.6203, 0.1055, 0.8484)
S (0.2147, 0.7500, 0.9647)
S (0.7147, 0.7500, 0.4647)
H (0.8987, 0.7224, 0.9872)
H (0.7571, 0.7719, 0.6516)
H (0.2429, 0.2281, 0.3484)
S (0.2853, 0.2500, 0.5353)
H (0.7352, 0.2224, 0.3237)
H (0.7648, 0.0885, 0.4872)
H (0.2571, 0.6055, 0.9852)

---

(2)
This record from Alexandria via LeMat-Bulk describes a relaxed structure of MnIrOs2. The functional is PBE-GGA.

Results
* ΔH_f (0 K): 35.5 kJ per mole of atoms
* DFT total energy: -39.0 eV for the cell shown

Cell: 2.7862 4.5293 4.5910 Å, 90.00 90.00 90.00°
Site moments in Bohr magnetons follow the coordinates.
Atoms (fractional coordinates):
Mn (0.0000, 0.5000, 0.5000)  3.26
Ir (0.5000, 0.0000, 0.5000)  0.22
Os (0.0000, 0.0000, 0.0000)  0.09
Os (0.5000, 0.5000, 0.0000)  0.12

---

(3)
This record from Alexandria via LeMat-Bulk describes a relaxed structure of Hf2NbS2. The functional is PBE-GGA.

Results
* formation energy from raw total energies: -0.17 eV per atom
* DFT total energy: -39.1 eV for the cell shown

Cell: 4.2466 4.2466 6.5836 Å, 71.19 71.19 90.00°
Site moments in Bohr magnetons follow the coordinates.
Atoms (fractional coordinates):
Hf (0.6296, 0.6296, 0.7408)  0.08
Hf (0.3704, 0.3704, 0.2592)  0.08
S (0.7500, 0.2500, 0.5000)  0.04
S (0.2500, 0.7500, 0.5000)  0.04
Nb (0.0000, 0.0000, 0.0000)  1.88

---

(4)
This record from Alexandria via LeMat-Bulk describes a relaxed structure of PaReGeMo. The functional is PBE-GGA.

Results
* ΔH_f (0 K): 10.4 kJ per mole of atoms
* DFT total energy: -37.0 eV for the cell shown

Cell: 4.6542 4.6542 4.6542 Å, 60.00 60.00 60.00°
Atoms (fractional coordinates):
Pa (0.7500, 0.7500, 0.7500)
Ge (0.2500, 0.2500, 0.2500)
Mo (0.5000, 0.5000, 0.5000)
Re (0.0000, 0.0000, 0.0000)

---

(5)
This record from Alexandria via LeMat-Bulk describes a relaxed structure of BaCdIn6. The functional is PBE-GGA.

Results
* ΔH_f (0 K): -20.1 kJ per mole of atoms
* DFT total energy: -20.9 eV for the cell shown

Cell: 5.2026 5.2026 8.8399 Å, 90.00 90.00 90.00°
Atoms (fractional coordinates):
In (0.5000, 0.5000, 0.8399)
In (0.0000, 0.5000, 0.3256)
Ba (0.0000, 0.0000, 0.0000)
In (0.5000, 0.0000, 0.6744)
In (0.5000, 0.0000, 0.3256)
In (0.5000, 0.5000, 0.1601)
In (0.0000, 0.5000, 0.6744)
Cd (0.0000, 0.0000, 0.5000)

---

(6)
This record from Alexandria via LeMat-Bulk describes a relaxed structure of CaHgPt2. The functional is PBE-GGA.

Results
* ΔH_f (0 K): -22.6 kJ per mole of atoms
* DFT total energy: -15.3 eV for the cell shown

Cell: 3.0925 3.0925 8.2186 Å, 90.00 90.00 90.00°
Atoms (fractional coordinates):
Pt (0.5000, 0.5000, 0.2334)
Ca (0.0000, 0.0000, 0.4766)
Pt (0.0000, 0.0000, 0.0162)
Hg (0.5000, 0.5000, 0.7739)

---

(7)
This record from Alexandria via LeMat-Bulk describes a relaxed structure of HoThOs. The functional is PBE-GGA.

Results
* ΔH_f (0 K): -22.2 kJ per mole of atoms
* DFT total energy: -23.9 eV for the cell shown

Cell: 4.8626 4.8626 4.8626 Å, 60.00 60.00 60.00°
Atoms (fractional coordinates):
Os (0.2500, 0.2500, 0.2500)
Ho (0.0000, 0.0000, 0.0000)
Th (0.5000, 0.5000, 0.5000)

---

(8)
This record from Alexandria via LeMat-Bulk describes a relaxed structure of Pm6NdDy3Y2. The functional is PBE-GGA.

Results
* ΔH_f (0 K): 1.2 kJ per mole of atoms
* DFT total energy: -59.9 eV for the cell shown

Cell: 6.2663 6.2663 11.9338 Å, 95.01 95.01 119.99°
Atoms (fractional coordinates):
Dy (0.1668, 0.8332, 0.5000)
Nd (0.0000, 0.0000, 0.0000)
Pm (0.5824, 0.9157, 0.7478)
Pm (0.2491, 0.2491, 0.7481)
Y (0.6667, 0.3333, 0.0000)
Pm (0.7509, 0.7509, 0.2519)
Pm (0.4176, 0.0843, 0.2522)
Dy (0.5000, 0.5000, 0.5000)
Y (0.3333, 0.6667, 0.0000)
Pm (0.9157, 0.5824, 0.7478)
Dy (0.8332, 0.1668, 0.5000)
Pm (0.0843, 0.4176, 0.2522)

---

(9)
This record from Alexandria via LeMat-Bulk describes a relaxed structure of SnBiC2. The functional is PBE-GGA.

Results
* ΔH_f (0 K): 127.4 kJ per mole of atoms
* DFT total energy: -42.1 eV for the cell shown

Cell: 5.3426 5.3426 6.5255 Å, 65.84 65.84 90.00°
Atoms (fractional coordinates):
C (0.5949, 0.1250, 0.2500)
Sn (0.2500, 0.7500, 0.5000)
C (0.1551, 0.6250, 0.2500)
Sn (0.5000, 0.5000, 0.0000)
C (0.8750, 0.8449, 0.7500)
Bi (0.7500, 0.2500, 0.5000)
C (0.3750, 0.4051, 0.7500)
Bi (0.0000, 0.0000, 0.0000)

---

(10)
This record from Alexandria via LeMat-Bulk describes a relaxed structure of LiTbNdSm. The functional is PBE-GGA.

Results
* ΔH_f (0 K): 16.3 kJ per mole of atoms
* DFT total energy: -15.4 eV for the cell shown

Cell: 5.5776 5.5776 5.5776 Å, 60.00 60.00 60.00°
Atoms (fractional coordinates):
Nd (0.2500, 0.2500, 0.2500)
Tb (0.5000, 0.5000, 0.5000)
Li (0.0000, 0.0000, 0.0000)
Sm (0.7500, 0.7500, 0.7500)

---

(11)
This record from Alexandria via LeMat-Bulk describes a relaxed structure of NdBeAl2Pd4. The functional is PBE-GGA.

Results
* ΔH_f (0 K): -75.6 kJ per mole of atoms
* DFT total energy: -43.0 eV for the cell shown

Cell: 4.2421 4.2421 8.9773 Å, 76.33 76.33 60.00°
Atoms (fractional coordinates):
Al (0.7640, 0.7640, 0.7081)
Pd (0.1363, 0.1363, 0.5912)
Pd (0.5917, 0.5917, 0.2250)
Al (0.2360, 0.2360, 0.2919)
Be (0.5000, 0.5000, 0.5000)
Pd (0.4083, 0.4083, 0.7750)
Pd (0.8637, 0.8637, 0.4088)
Nd (0.0000, 0.0000, 0.0000)

---

(12)
This record from Alexandria via LeMat-Bulk describes a relaxed structure of Ti5Bi2S. The functional is PBE-GGA.

Results
* formation energy from raw total energies: -0.08 eV per atom
* DFT total energy: -104.0 eV for the cell shown

Cell: 4.6063 7.3452 11.4560 Å, 90.00 90.00 108.27°
Atoms (fractional coordinates):
Ti (0.7054, 0.4108, 0.5385)
Bi (0.0993, 0.1985, 0.6082)
S (0.7433, 0.4866, 0.7500)
Bi (0.9007, 0.8015, 0.3918)
Ti (0.2810, 0.5620, 0.7500)
Ti (0.8924, 0.7848, 0.6380)
Ti (0.7054, 0.4108, 0.9615)
Ti (0.8924, 0.7848, 0.8620)
Ti (0.1076, 0.2152, 0.1380)
Ti (0.7190, 0.4380, 0.2500)
Bi (0.9007, 0.8015, 0.1082)
S (0.2567, 0.5134, 0.2500)
Ti (0.2946, 0.5892, 0.4615)
Ti (0.1076, 0.2152, 0.3620)
Bi (0.0993, 0.1985, 0.8918)
Ti (0.2946, 0.5892, 0.0385)